No. 1
Computed, not measured: a geometry-optimized Tm8TlIr2 structure at the PBE level of DFT.

```
Tm8TlIr2
1.0
4.331 -6.519 0.000
4.331 6.519 0.000
-1.281 0.000 5.246
Tm Tl Ir
8 1 2
Direct
0.069 0.332 0.581 Tm
0.247 0.753 0.000 Tm
0.332 0.069 0.581 Tm
0.386 0.386 0.200 Tm
0.614 0.614 0.800 Tm
0.668 0.931 0.419 Tm
0.753 0.247 0.000 Tm
0.931 0.668 0.419 Tm
0.000 0.000 0.000 Tl
0.311 0.689 0.500 Ir
0.689 0.311 0.500 Ir
```

**Theoretical density**: 10.88 g/cm³
**ΔH_f (0 K)**: -0.446 eV per atom

---

No. 2
Computed, not measured: a geometry-optimized Tm6Tl2Ir structure at the PBE level of DFT.

```
Tm6Tl2Ir
1.0
-2.491 3.588 7.407
2.491 -3.588 7.407
2.491 3.588 -7.407
Tm Tl Ir
6 2 1
Direct
0.082 0.345 0.737 Tm
0.224 0.000 0.224 Tm
0.392 0.655 0.737 Tm
0.608 0.345 0.263 Tm
0.776 0.000 0.776 Tm
0.918 0.655 0.263 Tm
0.333 0.833 0.500 Tl
0.667 0.167 0.500 Tl
0.000 0.500 0.500 Ir
```

**Theoretical density**: 10.13 g/cm³
**ΔH_f (0 K)**: -0.288 eV per atom

---

No. 3
Computed, not measured: a geometry-optimized Tm3TlIr structure at the PBE level of DFT.

```
Tm3TlIr
1.0
4.698 0.000 0.000
0.000 6.759 0.000
0.000 0.000 8.292
Tm Tl Ir
6 2 2
Direct
0.250 0.005 0.154 Tm
0.250 0.495 0.154 Tm
0.250 0.750 0.562 Tm
0.750 0.250 0.438 Tm
0.750 0.505 0.846 Tm
0.750 0.995 0.846 Tm
0.250 0.250 0.681 Tl
0.750 0.750 0.319 Tl
0.250 0.750 0.889 Ir
0.750 0.250 0.111 Ir
```

**Theoretical density**: 11.39 g/cm³
**ΔH_f (0 K)**: -0.556 eV per atom

---

No. 4
Computed, not measured: a geometry-optimized Tm4TlIr structure at the PBE level of DFT.

```
Tm4TlIr
1.0
0.000 6.756 6.756
6.756 0.000 6.756
6.756 6.756 0.000
Tm Tl Ir
16 4 4
Direct
0.048 0.651 0.651 Tm
0.059 0.059 0.441 Tm
0.059 0.441 0.059 Tm
0.059 0.441 0.441 Tm
0.191 0.191 0.809 Tm
0.191 0.809 0.191 Tm
0.191 0.809 0.809 Tm
0.441 0.059 0.059 Tm
0.441 0.059 0.441 Tm
0.441 0.441 0.059 Tm
0.651 0.048 0.651 Tm
0.651 0.651 0.048 Tm
0.651 0.651 0.651 Tm
0.809 0.191 0.191 Tm
0.809 0.191 0.809 Tm
0.809 0.809 0.191 Tm
0.414 0.414 0.414 Tl
0.414 0.414 0.759 Tl
0.414 0.759 0.414 Tl
0.759 0.414 0.414 Tl
0.424 0.859 0.859 Ir
0.859 0.424 0.859 Ir
0.859 0.859 0.424 Ir
0.859 0.859 0.859 Ir
```

**Theoretical density**: 11.55 g/cm³
**ΔH_f (0 K)**: -0.557 eV per atom

---

No. 5
Computed, not measured: a geometry-optimized Tm6Tl3Ir structure at the PBE level of DFT.

```
Tm6Tl3Ir
1.0
5.728 -3.549 0.000
5.728 3.549 0.000
-1.712 0.000 7.121
Tm Tl Ir
6 3 1
Direct
0.136 0.642 0.659 Tm
0.334 0.334 0.152 Tm
0.358 0.864 0.341 Tm
0.642 0.136 0.659 Tm
0.666 0.666 0.848 Tm
0.864 0.358 0.341 Tm
0.000 0.000 0.000 Tl
0.174 0.174 0.726 Tl
0.826 0.826 0.274 Tl
0.500 0.500 0.500 Ir
```

**Theoretical density**: 10.43 g/cm³
**ΔH_f (0 K)**: -0.266 eV per atom

---

No. 6
Computed, not measured: a geometry-optimized Tm4Tl2Ir structure at the PBE level of DFT.

```
Tm4Tl2Ir
1.0
6.487 0.000 0.000
0.000 3.737 0.000
-2.952 0.000 8.315
Tm Tl Ir
4 2 1
Direct
0.118 0.000 0.261 Tm
0.342 0.500 0.655 Tm
0.658 0.500 0.345 Tm
0.882 0.000 0.739 Tm
0.257 0.500 0.998 Tl
0.743 0.500 0.002 Tl
0.500 0.000 0.500 Ir
```

**Theoretical density**: 10.52 g/cm³
**ΔH_f (0 K)**: -0.370 eV per atom

---

No. 7
Computed, not measured: a geometry-optimized Tm4Tl3Ir structure at the PBE level of DFT.

```
Tm4Tl3Ir
1.0
3.530 0.000 0.000
0.000 3.530 0.000
0.000 0.000 15.821
Tm Tl Ir
4 3 1
Direct
0.000 0.000 0.100 Tm
0.000 0.000 0.368 Tm
0.000 0.000 0.632 Tm
0.000 0.000 0.900 Tm
0.500 0.500 0.239 Tl
0.500 0.500 0.500 Tl
0.500 0.500 0.761 Tl
0.500 0.500 0.000 Ir
```

**Theoretical density**: 12.47 g/cm³
**ΔH_f (0 K)**: -0.475 eV per atom

---

No. 8
Computed, not measured: a geometry-optimized Tm12Tl5Ir2 structure at the PBE level of DFT.

```
Tm12Tl5Ir2
1.0
8.365 -3.762 0.000
8.365 3.762 0.000
-2.467 0.000 9.246
Tm Tl Ir
12 5 2
Direct
0.004 0.004 0.243 Tm
0.076 0.596 0.907 Tm
0.100 0.602 0.428 Tm
0.398 0.900 0.572 Tm
0.404 0.924 0.093 Tm
0.487 0.487 0.171 Tm
0.513 0.513 0.829 Tm
0.596 0.076 0.907 Tm
0.602 0.100 0.428 Tm
0.900 0.398 0.572 Tm
0.924 0.404 0.093 Tm
0.996 0.996 0.757 Tm
0.189 0.189 0.838 Tl
0.200 0.200 0.362 Tl
0.500 0.500 0.500 Tl
0.800 0.800 0.638 Tl
0.811 0.811 0.162 Tl
0.210 0.790 0.000 Ir
0.790 0.210 0.000 Ir
```

**Theoretical density**: 9.80 g/cm³
**ΔH_f (0 K)**: -0.235 eV per atom

---

No. 9
Computed, not measured: a geometry-optimized Tm5TlIr4 structure at the PBE level of DFT.

```
Tm5TlIr4
1.0
3.438 0.000 0.000
0.000 3.438 0.000
0.000 0.000 17.564
Tm Tl Ir
5 1 4
Direct
0.000 0.000 0.000 Tm
0.000 0.000 0.188 Tm
0.000 0.000 0.375 Tm
0.000 0.000 0.625 Tm
0.000 0.000 0.812 Tm
0.500 0.500 0.500 Tl
0.500 0.500 0.094 Ir
0.500 0.500 0.285 Ir
0.500 0.500 0.715 Ir
0.500 0.500 0.906 Ir
```

**Theoretical density**: 14.54 g/cm³
**ΔH_f (0 K)**: -0.797 eV per atom

---

No. 10
Computed, not measured: a geometry-optimized Tm4TlIr structure at the PBE level of DFT.

```
Tm4TlIr
1.0
7.488 0.000 0.000
0.000 6.931 0.000
-0.130 0.000 6.778
Tm Tl Ir
8 2 2
Direct
0.136 0.158 0.168 Tm
0.136 0.342 0.668 Tm
0.311 0.640 0.123 Tm
0.311 0.860 0.623 Tm
0.689 0.140 0.377 Tm
0.689 0.360 0.877 Tm
0.864 0.658 0.332 Tm
0.864 0.842 0.832 Tm
0.500 0.000 0.000 Tl
0.500 0.500 0.500 Tl
0.000 0.000 0.500 Ir
0.000 0.500 0.000 Ir
```

**Theoretical density**: 10.12 g/cm³
**ΔH_f (0 K)**: -0.358 eV per atom

---

No. 11
Computed, not measured: a geometry-optimized Tm5Tl4Ir2 structure at the PBE level of DFT.

```
Tm5Tl4Ir2
1.0
8.027 0.000 0.000
0.000 18.193 0.000
0.000 0.000 3.629
Tm Tl Ir
10 8 4
Direct
0.000 0.000 0.000 Tm
0.112 0.409 0.000 Tm
0.244 0.221 0.000 Tm
0.256 0.721 0.000 Tm
0.388 0.909 0.000 Tm
0.500 0.500 0.000 Tm
0.612 0.091 0.000 Tm
0.744 0.279 0.000 Tm
0.756 0.779 0.000 Tm
0.888 0.591 0.000 Tm
0.075 0.854 0.500 Tl
0.207 0.563 0.500 Tl
0.293 0.063 0.500 Tl
0.425 0.354 0.500 Tl
0.575 0.646 0.500 Tl
0.707 0.937 0.500 Tl
0.793 0.437 0.500 Tl
0.925 0.146 0.500 Tl
0.021 0.302 0.500 Ir
0.479 0.802 0.500 Ir
0.521 0.198 0.500 Ir
0.979 0.698 0.500 Ir
```

**Theoretical density**: 12.83 g/cm³
**ΔH_f (0 K)**: -0.551 eV per atom

---

No. 12
Computed, not measured: a geometry-optimized Tm7Tl2Ir2 structure at the PBE level of DFT.

```
Tm7Tl2Ir2
1.0
4.099 -5.372 0.000
4.099 5.372 0.000
0.000 0.000 7.032
Tm Tl Ir
7 2 2
Direct
0.000 0.000 0.000 Tm
0.000 0.500 0.246 Tm
0.000 0.500 0.754 Tm
0.500 0.000 0.246 Tm
0.500 0.000 0.754 Tm
0.500 0.500 0.237 Tm
0.500 0.500 0.763 Tm
0.184 0.184 0.500 Tl
0.816 0.816 0.500 Tl
0.286 0.714 0.000 Ir
0.714 0.286 0.000 Ir
```

**Theoretical density**: 10.59 g/cm³
**ΔH_f (0 K)**: -0.442 eV per atom